The following is a PBE calculation of a relaxed UAsSe crystal, from Alexandria.

abc: 3.999 3.999 8.726
angles: 103.24 103.24 90.00
Each line ends with the local moment (μB).
Element x y z (fractional)
As (0.500, 0.000, 0.000)  -0.07
U (0.632, 0.632, 0.265)  2.21
Se (0.815, 0.815, 0.631)  -0.07
As (0.000, 0.500, 0.000)  -0.07
Se (0.185, 0.185, 0.369)  -0.07
U (0.368, 0.368, 0.735)  2.21

Results
Symmetry: I4/mmm (139)
DOS(E_F), states/eV per atom: 1.99
Formation energy without anion corrections, eV per atom: -0.9573